No. 1
Density functional theory data (meta-GGA SCAN) for a PBEsol-optimized structure of LaSiSb2.

Cell: 4.421 4.421 10.214 Å, 90.00 90.00 90.00°
Space group I-4m2 (No. 119)
Asymmetric unit:
La  0.000  0.000  0.000 [2 per cell]
Si  0.000  0.500  0.750 [2 per cell]
Sb  0.000  0.000  0.500 [2 per cell]
Sb  0.000  0.500  0.250 [2 per cell]

- uncorrected formation energy (kJ/mol of formula units) = -133
- crystal system = tetragonal

No. 2
Density functional theory data (meta-GGA SCAN) for a PBEsol-optimized structure of CaScAs.

Cell: 6.667 6.667 6.667 Å, 90.00 90.00 90.00°
Space group F-43m (No. 216)
Asymmetric unit:
Ca  0.000  0.000  0.000 [4 per cell]
Sc  0.250  0.250  0.250 [4 per cell]
As  0.000  0.000  0.500 [4 per cell]

- crystal system = cubic
- E_form (meV/atom) = -100

No. 3
Density functional theory data (meta-GGA SCAN) for a PBEsol-optimized structure of AlInOs2.

Cell: 6.274 6.274 6.274 Å, 90.00 90.00 90.00°
Space group F-43m (No. 216)
Asymmetric unit:
Al  0.000  0.000  0.000 [4 per cell]
In  0.250  0.250  0.250 [4 per cell]
Os  0.000  0.000  0.500 [4 per cell]
Os  0.250  0.250  0.750 [4 per cell]

- crystal system = cubic
- E_form (meV/atom) = 449

No. 4
Density functional theory data (meta-GGA SCAN) for a PBEsol-optimized structure of LiCaNO2.

Cell: 3.771 3.771 3.756 Å, 90.00 90.00 90.00°
Space group P4/mmm (No. 123)
Asymmetric unit:
Li  0.000  0.000  0.000 [1 per cell]
Ca  0.500  0.500  0.500 [1 per cell]
N  0.000  0.000  0.500 [1 per cell]
O  0.000  0.500  0.000 [2 per cell]

- uncorrected formation energy (kJ/mol of formula units) = -338
- crystal system = tetragonal

No. 5
Density functional theory data (meta-GGA SCAN) for a PBEsol-optimized structure of KSr3.

Cell: 4.594 6.913 13.834 Å, 90.00 90.00 90.00°
Space group Immm (No. 71)
Asymmetric unit:
K  0.000  0.000  0.000 [2 per cell]
Sr  0.000  0.000  0.500 [2 per cell]
Sr  0.000  0.500  0.252 [4 per cell]

- crystal system = orthorhombic
- E_form (meV/atom) = 95

No. 6
Density functional theory data (meta-GGA SCAN) for a PBEsol-optimized structure of NbCNO2.

Cell: 3.882 3.882 4.218 Å, 90.00 90.00 90.00°
Space group P4/mmm (No. 123)
Asymmetric unit:
Nb  0.000  0.000  0.000 [1 per cell]
C  0.500  0.500  0.500 [1 per cell]
N  0.000  0.000  0.500 [1 per cell]
O  0.000  0.500  0.000 [2 per cell]

- uncorrected formation energy (kJ/mol of formula units) = 197
- crystal system = tetragonal

Raw total energy values (in eV per atom) by entry order: -32.255; -14.797; -45.775; -7.461; -18.694; -12.589.